[1]
Sr3LiRh after structural relaxation. Source: Alexandria via LeMat-Bulk, functional PBE.

a b c (Å): 6.2266 8.2602 7.4253
angles (deg): 90.00 107.93 90.00
Space group P2_1/m (No. 11)
One atom of each set of equivalent atoms:
Sr (0.1374, 0.2500, 0.1216) [2 per cell]
Sr (0.3150, 0.0097, 0.7203) [4 per cell]
Li (0.2455, 0.7500, 0.3021) [2 per cell]
Rh (0.3898, 0.7500, 0.0126) [2 per cell]

For the volume, the calculation gives 363.4 Å³/cell. The formation energy comes out at -0.12 eV per atom. The calculation puts the total moment at 0.00 μB/cell.



[2]
TlCrBr after structural relaxation. Source: Alexandria via LeMat-Bulk, functional PBE.

a b c (Å): 3.8443 3.8443 6.4362
angles (deg): 90.00 90.00 120.00
Space group P3m1 (No. 156)
One atom of each set of equivalent atoms:
Tl (0.0000, 0.0000, 0.0000) [1 per cell]
Cr (0.3333, 0.6667, 0.6918) [1 per cell]
Br (0.6667, 0.3333, 0.4623) [1 per cell]

The value obtained for the raw formation energy is 0.420 eV/f.u. For the volume, the calculation gives 82.4 Å³/cell. The calculation puts the total moment at 4.74 μB/cell.



Q: The highest total moment belongs to which entry?
A: TlCrBr